Entry 1:
The following is a PBE-GGA calculation of crystalline Ba2SrCr at its relaxed geometry, from Alexandria via LeMat-Bulk.

Cell lengths 7.676, 7.676, 7.676 Å; angles 146.80, 129.58, 61.71 degrees
Last column: magnetic moment on the atom in μB.
Sites, in units of the cell vectors:
1 Ba 0.298 0.798 0.500  -0.05
2 Sr 0.700 0.200 0.500  -0.02
3 Ba 0.998 0.998 0.000  -0.02
4 Cr 0.504 0.504 0.000  4.01

Computed properties:
SG   Imm2
Energy above the lowest structure with this stoichiometry   0.031 eV per atom
E_form   1.8 eV per formula unit

---

Entry 2:
The following is a PBE-GGA calculation of crystalline ScSn2Cl at its relaxed geometry, from Alexandria via LeMat-Bulk.

Cell lengths 5.217, 5.217, 5.217 Å; angles 60.00, 60.00, 60.00 degrees
Sites, in units of the cell vectors:
1 Cl 0.000 0.000 0.000
2 Sc 0.500 0.500 0.500
3 Sn 0.250 0.250 0.250
4 Sn 0.750 0.750 0.750

Computed properties:
SG   Fm-3m
Uncorrected formation energy   -81 meV/atom
Energy above the lowest structure with this stoichiometry   0.348 eV per atom

---

Entry 3:
The following is a PBE-GGA calculation of crystalline Ga3Ag6Sn at its relaxed geometry, from Alexandria via LeMat-Bulk.

Cell lengths 5.786, 8.353, 8.353 Å; angles 103.92, 90.00, 90.00 degrees
Sites, in units of the cell vectors:
1 Ga 0.500 0.284 0.129
2 Ag 0.075 0.772 0.228
3 Ag 0.622 0.281 0.437
4 Ag 0.813 0.484 0.020
5 Ga 0.000 0.129 0.284
6 Ga 0.500 0.871 0.716
7 Ga 0.199 0.405 0.595
8 Ag 0.813 0.980 0.516
9 Ga 0.000 0.716 0.871
10 Sn 0.072 0.194 0.806
11 Ag 0.122 0.719 0.563
12 Sn 0.572 0.806 0.194
13 Ag 0.575 0.228 0.772
14 Ag 0.122 0.437 0.281
15 Ag 0.268 0.985 0.015
16 Ag 0.313 0.516 0.980
17 Ag 0.768 0.015 0.985
18 Ag 0.622 0.563 0.719
19 Ag 0.313 0.020 0.484
20 Ga 0.699 0.595 0.405

Computed properties:
SG   Cmc2_1
E_form   0.6 eV per formula unit

---

What did we get for calculated density? Answer: 3.6; 5.3; 8.3 g/cm3, in the order shown.